{"formula": "PmHoTlCo", "functional": "PBE-GGA", "state": "relaxed", "magmom_total_mub_per_fu": 1.25, "delta_e_f_ev_per_atom": -0.091, "n_ef_per_ev_atom": 0.571, "crystal_system": "cubic", "energy_ev_per_atom": -4.79, "lattice_angstrom": [[7.3075, 0.0000, 0.0000], [0.0000, 7.3075, 0.0000], [0.0000, 0.0000, 7.3075]], "species": ["Pm", "Pm", "Pm", "Pm", "Ho", "Ho", "Ho", "Ho", "Tl", "Tl", "Tl", "Tl", "Co", "Co", "Co", "Co"], "frac_coords": [[0.0000, 0.0000, 0.0000], [0.0000, 0.5000, 0.5000], [0.5000, 0.0000, 0.5000], [0.5000, 0.5000, 0.0000], [0.0000, 0.0000, 0.5000], [0.0000, 0.5000, 0.0000], [0.5000, 0.0000, 0.0000], [0.5000, 0.5000, 0.5000], [0.2500, 0.2500, 0.2500], [0.2500, 0.7500, 0.7500], [0.7500, 0.2500, 0.7500], [0.7500, 0.7500, 0.2500], [0.2500, 0.2500, 0.7500], [0.2500, 0.7500, 0.2500], [0.7500, 0.2500, 0.2500], [0.7500, 0.7500, 0.7500]]}


{"formula": "PmHoZnCo", "functional": "PBE-GGA", "state": "relaxed", "magmom_total_mub_per_fu": 0.00, "delta_e_f_ev_per_atom": -0.197, "n_ef_per_ev_atom": 0.905, "de_polymorph_ev_per_atom": 0.0000, "crystal_system": "orthorhombic", "energy_ev_per_atom": -4.62, "lattice_angstrom": [[4.3209, 0.0000, 0.0000], [0.0000, 3.8919, 0.0000], [0.0000, 0.0000, 10.5528]], "species": ["Pm", "Pm", "Ho", "Ho", "Zn", "Zn", "Co", "Co"], "frac_coords": [[0.0000, 0.0000, 0.0000], [0.0000, 0.5000, 0.5000], [0.5000, 0.0000, 0.7172], [0.5000, 0.5000, 0.2172], [0.5000, 0.0000, 0.4205], [0.5000, 0.5000, 0.9205], [0.0000, 0.0000, 0.2919], [0.0000, 0.5000, 0.7919]]}


{"formula": "PmHoZnCo", "functional": "PBE-GGA", "state": "relaxed", "magmom_total_mub_per_fu": 0.00, "delta_e_f_ev_per_atom": -0.183, "n_ef_per_ev_atom": 0.648, "de_polymorph_ev_per_atom": 0.0140, "crystal_system": "cubic", "energy_ev_per_atom": -4.61, "lattice_angstrom": [[6.9721, 0.0000, 0.0000], [0.0000, 6.9721, 0.0000], [0.0000, 0.0000, 6.9721]], "species": ["Pm", "Pm", "Pm", "Pm", "Ho", "Ho", "Ho", "Ho", "Zn", "Zn", "Zn", "Zn", "Co", "Co", "Co", "Co"], "frac_coords": [[0.0000, 0.0000, 0.0000], [0.0000, 0.5000, 0.5000], [0.5000, 0.0000, 0.5000], [0.5000, 0.5000, 0.0000], [0.0000, 0.0000, 0.5000], [0.0000, 0.5000, 0.0000], [0.5000, 0.0000, 0.0000], [0.5000, 0.5000, 0.5000], [0.2500, 0.2500, 0.7500], [0.2500, 0.7500, 0.2500], [0.7500, 0.2500, 0.2500], [0.7500, 0.7500, 0.7500], [0.2500, 0.2500, 0.2500], [0.2500, 0.7500, 0.7500], [0.7500, 0.2500, 0.7500], [0.7500, 0.7500, 0.2500]]}


{"formula": "PrHo3Co", "functional": "PBE-GGA", "state": "relaxed", "magmom_total_mub_per_fu": 0.00, "delta_e_f_ev_per_atom": -0.098, "n_ef_per_ev_atom": 1.063, "de_polymorph_ev_per_atom": 0.0000, "crystal_system": "monoclinic", "energy_ev_per_atom": -5.22, "lattice_angstrom": [[6.6047, -1.8672, 0.0000], [6.6047, 1.8672, 0.0000], [-0.2032, 0.0000, 11.1638]], "species": ["Pr", "Pr", "Ho", "Ho", "Ho", "Ho", "Ho", "Ho", "Co", "Co"], "frac_coords": [[0.1659, 0.1659, 0.0908], [0.8341, 0.8341, 0.9092], [0.0615, 0.0615, 0.3738], [0.2146, 0.2146, 0.6358], [0.4350, 0.4350, 0.1598], [0.5650, 0.5650, 0.8402], [0.7854, 0.7854, 0.3642], [0.9385, 0.9385, 0.6262], [0.4157, 0.4157, 0.4396], [0.5843, 0.5843, 0.5604]]}


{"formula": "PrHo4Co", "functional": "PBE-GGA", "state": "relaxed", "magmom_total_mub_per_fu": 0.04, "delta_e_f_ev_per_atom": 0.243, "n_ef_per_ev_atom": 1.132, "crystal_system": "tetragonal", "energy_ev_per_atom": -4.79, "lattice_angstrom": [[4.6347, 0.0000, 0.0000], [0.0000, 4.6347, 0.0000], [0.0000, 0.0000, 9.0018]], "species": ["Pr", "Ho", "Ho", "Ho", "Ho", "Co"], "frac_coords": [[0.0000, 0.0000, 0.0000], [0.0000, 0.5000, 0.3230], [0.0000, 0.5000, 0.6770], [0.5000, 0.0000, 0.3230], [0.5000, 0.0000, 0.6770], [0.5000, 0.5000, 0.5000]]}


{"formula": "Pr2HoCo", "functional": "PBE-GGA", "state": "relaxed", "magmom_total_mub_per_fu": 0.30, "delta_e_f_ev_per_atom": 0.106, "n_ef_per_ev_atom": 1.437, "de_polymorph_ev_per_atom": 0.1810, "crystal_system": "trigonal", "energy_ev_per_atom": -5.21, "lattice_angstrom": [[3.8522, 0.0000, 0.0000], [-1.9261, 3.3361, 0.0000], [0.0000, 0.0000, 27.7324]], "species": ["Pr", "Pr", "Pr", "Pr", "Pr", "Pr", "Ho", "Ho", "Ho", "Co", "Co", "Co"], "frac_coords": [[0.0000, 0.0000, 0.0000], [0.0000, 0.0000, 0.2153], [0.3333, 0.6667, 0.6667], [0.3333, 0.6667, 0.8820], [0.6667, 0.3333, 0.3333], [0.6667, 0.3333, 0.5486], [0.0000, 0.0000, 0.4414], [0.3333, 0.6667, 0.1081], [0.6667, 0.3333, 0.7747], [0.0000, 0.0000, 0.6073], [0.3333, 0.6667, 0.2739], [0.6667, 0.3333, 0.9406]]}


{"formula": "PrHo4Co4", "functional": "PBE-GGA", "state": "relaxed", "magmom_total_mub_per_fu": 0.00, "delta_e_f_ev_per_atom": -0.044, "n_ef_per_ev_atom": 0.605, "crystal_system": "tetragonal", "energy_ev_per_atom": -5.77, "lattice_angstrom": [[8.5053, 0.0000, 0.0000], [0.0000, 8.5053, 0.0000], [0.0000, 0.0000, 5.5185]], "species": ["Pr", "Pr", "Ho", "Ho", "Ho", "Ho", "Ho", "Ho", "Ho", "Ho", "Co", "Co", "Co", "Co", "Co", "Co", "Co", "Co"], "frac_coords": [[0.2500, 0.2500, 0.2500], [0.7500, 0.7500, 0.7500], [0.0676, 0.6702, 0.1356], [0.1702, 0.9324, 0.6356], [0.3298, 0.5676, 0.6356], [0.4324, 0.8298, 0.1356], [0.5676, 0.1702, 0.8644], [0.6702, 0.4324, 0.3644], [0.8298, 0.0676, 0.3644], [0.9324, 0.3298, 0.8644], [0.0198, 0.6086, 0.6210], [0.1086, 0.9802, 0.1210], [0.3914, 0.5198, 0.1210], [0.4802, 0.8914, 0.6210], [0.5198, 0.1086, 0.3790], [0.6086, 0.4802, 0.8790], [0.8914, 0.0198, 0.8790], [0.9802, 0.3914, 0.3790]]}


{"formula": "Pr2HoCo", "functional": "PBE-GGA", "state": "relaxed", "magmom_total_mub_per_fu": 0.00, "delta_e_f_ev_per_atom": -0.075, "n_ef_per_ev_atom": 1.242, "de_polymorph_ev_per_atom": 0.0000, "crystal_system": "orthorhombic", "energy_ev_per_atom": -5.39, "lattice_angstrom": [[7.0938, 0.0000, 0.0000], [0.0000, 9.9732, 0.0000], [0.0000, 0.0000, 6.2951]], "species": ["Pr", "Pr", "Pr", "Pr", "Pr", "Pr", "Pr", "Pr", "Ho", "Ho", "Ho", "Ho", "Co", "Co", "Co", "Co"], "frac_coords": [[0.1758, 0.0706, 0.1756], [0.1758, 0.4294, 0.1756], [0.3242, 0.5706, 0.6756], [0.3242, 0.9294, 0.6756], [0.6758, 0.0706, 0.3244], [0.6758, 0.4294, 0.3244], [0.8242, 0.5706, 0.8244], [0.8242, 0.9294, 0.8244], [0.0447, 0.2500, 0.6583], [0.4553, 0.7500, 0.1583], [0.5447, 0.2500, 0.8417], [0.9553, 0.7500, 0.3417], [0.1177, 0.7500, 0.9530], [0.3823, 0.2500, 0.4530], [0.6177, 0.7500, 0.5470], [0.8823, 0.2500, 0.0470]]}


{"formula": "Pr2HoCo", "functional": "PBE-GGA", "state": "relaxed", "magmom_total_mub_per_fu": 0.00, "delta_e_f_ev_per_atom": 0.260, "n_ef_per_ev_atom": 1.461, "de_polymorph_ev_per_atom": 0.3357, "crystal_system": "trigonal", "energy_ev_per_atom": -5.05, "lattice_angstrom": [[3.6724, 0.0000, 0.0000], [-1.8362, 3.1804, 0.0000], [0.0000, 0.0000, 31.5050]], "species": ["Pr", "Pr", "Pr", "Pr", "Pr", "Pr", "Ho", "Ho", "Ho", "Co", "Co", "Co"], "frac_coords": [[0.0000, 0.0000, 0.1114], [0.0000, 0.0000, 0.8886], [0.3333, 0.6667, 0.5552], [0.3333, 0.6667, 0.7781], [0.6667, 0.3333, 0.2219], [0.6667, 0.3333, 0.4448], [0.0000, 0.0000, 0.0000], [0.3333, 0.6667, 0.6667], [0.6667, 0.3333, 0.3333], [0.0000, 0.0000, 0.5000], [0.3333, 0.6667, 0.1667], [0.6667, 0.3333, 0.8333]]}


{"formula": "PrHo3Co", "functional": "PBE-GGA", "state": "relaxed", "magmom_total_mub_per_fu": 0.00, "delta_e_f_ev_per_atom": -0.066, "n_ef_per_ev_atom": 0.944, "de_polymorph_ev_per_atom": 0.0316, "crystal_system": "monoclinic", "energy_ev_per_atom": -5.19, "lattice_angstrom": [[9.3662, 0.0000, 0.0000], [0.0000, 6.4518, 0.0000], [-1.7929, 0.0000, 9.5603]], "species": ["Pr", "Pr", "Pr", "Pr", "Ho", "Ho", "Ho", "Ho", "Ho", "Ho", "Ho", "Ho", "Ho", "Ho", "Ho", "Ho", "Co", "Co", "Co", "Co"], "frac_coords": [[0.0680, 0.0757, 0.1830], [0.0680, 0.4243, 0.6830], [0.9320, 0.5757, 0.3170], [0.9320, 0.9243, 0.8170], [0.1795, 0.5846, 0.0539], [0.1795, 0.9154, 0.5539], [0.3074, 0.0808, 0.9246], [0.3074, 0.4192, 0.4246], [0.4445, 0.5891, 0.8247], [0.4445, 0.9109, 0.3247], [0.5555, 0.0891, 0.6753], [0.5555, 0.4109, 0.1753], [0.6926, 0.5808, 0.5754], [0.6926, 0.9192, 0.0754], [0.8205, 0.0846, 0.4461], [0.8205, 0.4154, 0.9461], [0.4289, 0.7356, 0.5699], [0.4289, 0.7644, 0.0699], [0.5711, 0.2356, 0.9301], [0.5711, 0.2644, 0.4301]]}


{"formula": "PrHo2Co2", "functional": "PBE-GGA", "state": "relaxed", "magmom_total_mub_per_fu": 0.00, "delta_e_f_ev_per_atom": -0.052, "n_ef_per_ev_atom": 0.974, "crystal_system": "monoclinic", "energy_ev_per_atom": -5.68, "lattice_angstrom": [[11.5165, 0.0000, 0.0000], [0.0000, 3.7707, 0.0000], [-1.3478, 0.0000, 5.3566]], "species": ["Pr", "Pr", "Ho", "Ho", "Ho", "Ho", "Co", "Co", "Co", "Co"], "frac_coords": [[0.0000, 0.0000, 0.0000], [0.5000, 0.5000, 0.0000], [0.1505, 0.5000, 0.5830], [0.3495, 0.0000, 0.4170], [0.6505, 0.0000, 0.5830], [0.8495, 0.5000, 0.4170], [0.2212, 0.5000, 0.1051], [0.2788, 0.0000, 0.8949], [0.7212, 0.0000, 0.1051], [0.7788, 0.5000, 0.8949]]}


{"formula": "PrHo3Co", "functional": "PBE-GGA", "state": "relaxed", "magmom_total_mub_per_fu": 0.00, "delta_e_f_ev_per_atom": -0.041, "n_ef_per_ev_atom": 1.667, "de_polymorph_ev_per_atom": 0.0567, "crystal_system": "cubic", "energy_ev_per_atom": -5.16, "lattice_angstrom": [[5.2872, 0.0000, 0.0000], [0.0000, 5.2872, 0.0000], [0.0000, 0.0000, 5.2872]], "species": ["Pr", "Ho", "Ho", "Ho", "Co"], "frac_coords": [[0.0000, 0.0000, 0.0000], [0.0000, 0.5000, 0.5000], [0.5000, 0.0000, 0.5000], [0.5000, 0.5000, 0.0000], [0.5000, 0.5000, 0.5000]]}